A plane-wave DFT calculation with PBE was carried out for an optimized crystal structure of SrSe.

abc: 7.691 7.691 7.691
angles: 147.48 147.48 46.65
Element x y z (fractional)
Se (0.000, 0.000, 0.000)
Se (0.250, 0.750, 0.500)
Sr (0.500, 0.500, 0.000)
Sr (0.750, 0.250, 0.500)



A plane-wave DFT calculation with PBE was carried out for an optimized crystal structure of Sr3Se4.

abc: 7.360 7.360 4.814
angles: 90.00 90.00 120.00
Element x y z (fractional)
Sr (0.000, 0.500, 0.000)
Sr (0.500, 0.500, 0.000)
Sr (0.500, 0.000, 0.000)
Se (0.000, 0.000, 0.266)
Se (0.000, 0.000, 0.734)
Se (0.667, 0.333, 0.500)
Se (0.333, 0.667, 0.500)

Calculated values
ΔE to the lowest computed polymorph: 468 meV/atom



A plane-wave DFT calculation with PBE was carried out for an optimized crystal structure of SrSe.

abc: 10.500 10.500 6.215
angles: 90.00 90.00 90.00
Element x y z (fractional)
Sr (0.855, 0.355, 0.000)
Sr (0.855, 0.645, 0.500)
Sr (0.145, 0.355, 0.500)
Sr (0.145, 0.645, 0.000)
Sr (0.645, 0.145, 0.500)
Sr (0.645, 0.855, 0.000)
Sr (0.355, 0.145, 0.000)
Sr (0.355, 0.855, 0.500)
Se (0.649, 0.149, 0.000)
Se (0.649, 0.851, 0.500)
Se (0.351, 0.149, 0.500)
Se (0.351, 0.851, 0.000)
Se (0.851, 0.351, 0.500)
Se (0.851, 0.649, 0.000)
Se (0.149, 0.351, 0.000)
Se (0.149, 0.649, 0.500)



A plane-wave DFT calculation with PBE was carried out for an optimized crystal structure of SrSe2.

abc: 5.716 5.716 8.580
angles: 66.66 66.66 47.08
Element x y z (fractional)
Sr (0.803, 0.803, 0.218)
Sr (0.197, 0.197, 0.782)
Se (0.468, 0.468, 0.880)
Se (0.125, 0.125, 0.461)
Se (0.875, 0.875, 0.539)
Se (0.532, 0.532, 0.120)



A plane-wave DFT calculation with PBE was carried out for an optimized crystal structure of SrSe.

abc: 5.019 4.874 4.861
angles: 62.06 59.04 58.83
Element x y z (fractional)
Sr (0.762, 0.513, 0.773)
Se (0.512, 0.263, 0.523)



A plane-wave DFT calculation with PBE was carried out for an optimized crystal structure of SrSe.

abc: 11.624 11.624 5.210
angles: 90.00 90.00 120.00
Element x y z (fractional)
Sr (0.927, 0.336, 0.250)
Sr (0.591, 0.927, 0.750)
Sr (0.664, 0.591, 0.250)
Sr (0.073, 0.664, 0.750)
Sr (0.409, 0.073, 0.250)
Sr (0.336, 0.409, 0.750)
Se (0.672, 0.077, 0.250)
Se (0.595, 0.672, 0.750)
Se (0.923, 0.595, 0.250)
Se (0.328, 0.923, 0.750)
Se (0.405, 0.328, 0.250)
Se (0.077, 0.405, 0.750)



no.,formation energy from raw total energies (kJ/mol of formula units),calculated volume (Å³/atom)
1,-324,32.75
2,-776,32.26
3,-370,42.83
4,-360,30.86
5,-346,41.92
6,-342,50.81